DFT (PBE) results for K3SbF after structural relaxation.

Calculated values
Formation energy (no corrections)   -1.230 eV per atom
Calculated volume   313.74 Å³/cell
Polymorph energy (0 for the lowest one)   0.043 eV/atom

Unit cell a=7.771 b=7.771 c=7.771 alpha=57.63 beta=57.63 gamma=57.63
Fractional coordinates of all 10 atoms:
K 0.090 0.090 0.568
K 0.090 0.568 0.090
K 0.432 0.910 0.910
K 0.568 0.090 0.090
K 0.910 0.432 0.910
K 0.910 0.910 0.432
Sb 0.421 0.421 0.421
Sb 0.579 0.579 0.579
F 0.162 0.162 0.162
F 0.838 0.838 0.838